Material: LiGa2Br
Method: DFT, PBE
State: relaxed

E_tot, eV per cell: -48.675
Formation energy from raw total energies, eV per atom: -0.6321
Total magnetic moment, μB/atom: 0.000

Structure (extended XYZ):
```
16
Lattice="13.2476 0.0000 0.0251 0.0000 4.0731 0.0000 -1.2731 0.0000 7.1035" Properties=species:S:1:pos:R:3 pbc="T T T"
Li 3.1796 2.0365 2.2085
Li 2.5431 0.0000 5.7602
Li 6.4398 0.0000 4.0359
Li 7.0763 2.0365 0.4842
Ga 10.3962 2.0365 1.0803
Ga 12.3495 2.0365 3.9250
Ga 11.6470 0.0000 2.5461
Ga 12.9861 0.0000 0.3733
Ga 8.9685 0.0000 2.1063
Ga 8.3319 2.0365 5.6580
Ga 11.0105 2.0365 6.0978
Ga 9.7597 0.0000 4.6320
Br 5.0297 0.0000 6.2070
Br 1.8756 2.0365 4.3950
Br 5.6662 2.0365 2.6552
Br 2.5122 0.0000 0.8433
```

Material: LiGaBr2
Method: DFT, PBE
State: relaxed

E_tot, eV per cell: -11.775
Formation energy from raw total energies, eV per atom: -0.8721
Total magnetic moment, μB/atom: 0.000

Structure (extended XYZ):
```
4
Lattice="1.5726 7.5563 3.4594 5.1453 4.7613 4.7322 5.1036 6.7295 0.4519" Properties=species:S:1:pos:R:3 pbc="T T T"
Ga 5.9108 9.5235 4.3217
Br 1.1500 1.8528 0.8408
Br 10.6716 17.1942 7.8026
Li 0.0000 0.0000 0.0000
```

Material: LiGaBr2
Method: DFT, PBE
State: relaxed

E_tot, eV per cell: -34.481
Formation energy from raw total energies, eV per atom: -0.8018
Total magnetic moment, μB/atom: 0.000

Structure (extended XYZ):
```
12
Lattice="-2.5002 -3.2221 -0.4338 0.9776 -3.5988 1.7072 -12.2718 6.6789 21.1067" Properties=species:S:1:pos:R:3 pbc="T T T"
Br -10.3042 3.5554 19.9395
Br -4.0848 -1.8304 5.0232
Br -9.3890 0.5080 17.9168
Br -7.6754 2.6341 11.6412
Br -6.7607 -0.4141 9.6184
Br -3.1693 -4.8788 3.0010
Ga -9.0191 3.3729 13.9258
Ga -5.4254 -1.1220 7.3192
Ga 0.6500 -2.3928 1.1351
Li -11.5839 2.2199 17.8586
Li -2.8669 0.0544 3.3752
Li -5.4795 0.9232 11.6996
```

Material: Li2GaBr4
Method: DFT, PBE
State: relaxed

E_tot, eV per cell: -21.079
Formation energy from raw total energies, eV per atom: -1.0761
Total magnetic moment, μB/atom: 0.099

Structure (extended XYZ):
```
7
Lattice="5.9872 0.0000 0.0000 0.0000 5.9872 0.0000 -2.9936 -2.9936 5.9400" Properties=species:S:1:pos:R:3 pbc="T T T"
Ga 2.9936 2.9936 0.0000
Br 1.5274 1.5274 4.4239
Br -1.5274 -1.5274 4.4239
Br 1.4662 4.5210 1.5161
Br 4.5210 1.4662 1.5161
Li 2.9936 0.0000 2.9700
Li 0.0000 2.9936 2.9700
```

Material: Li3Ga5Br12
Method: DFT, PBE
State: relaxed

E_tot, eV per cell: -224.749
Formation energy from raw total energies, eV per atom: -0.7618
Total magnetic moment, μB/atom: 0.000

Structure (extended XYZ):
```
80
Lattice="15.0020 0.0000 0.0000 -5.0007 14.1440 0.0000 -5.0007 -7.0720 12.2491" Properties=species:S:1:pos:R:3 pbc="T T T"
Br 10.0049 1.6222 0.3986
Br 3.0758 5.0403 1.1079
Br 6.2746 -1.0440 7.2324
Br -1.9248 0.0564 9.9356
Br -4.3059 6.4375 6.5231
Br 9.3065 0.6345 5.7259
Br -5.5762 -0.0564 9.9356
Br -3.7267 11.9385 1.6042
Br 1.9248 2.0317 11.1412
Br 9.9977 -3.0701 7.7287
Br 6.9255 7.0156 2.3135
Br 6.8062 7.7065 6.5231
Br 1.9248 -1.9753 11.0435
Br 5.6954 5.9665 9.5370
Br 6.2271 10.8945 3.4125
Br 8.7274 -4.8666 10.6449
Br 2.5039 9.4517 4.9190
Br -4.9970 10.1421 4.5203
Br 1.2264 1.0440 7.2324
Br -2.4967 -5.4498 11.8504
Br 5.5762 1.9753 11.0435
Br -1.2264 -3.8225 8.8366
Br -0.6948 1.1055 2.7121
Br -1.2739 8.1160 5.0167
Br 6.2271 2.2054 1.6042
Br 0.6948 8.8120 8.4380
Br 7.4974 12.5218 0.3986
Br 4.3059 -1.7401 3.8111
Br 8.1958 -1.1055 2.7121
Br -1.8055 -0.6345 5.7259
Br 3.0758 9.0473 1.2056
Br -3.1951 8.1775 9.5370
Br -0.0036 4.6923 4.9190
Br -1.2264 4.8666 10.6449
Br 11.2752 3.2495 3.4125
Br 5.0043 2.3797 7.3301
Br -5.0043 5.4498 11.8504
Br 1.8055 5.3319 8.4380
Br -0.5755 9.1037 1.1079
Br 3.1951 1.7401 3.8111
Br 2.4967 -2.3797 7.3301
Br -0.5755 5.0967 1.2056
Br -2.4967 3.0701 7.7287
Br 10.5768 7.1284 2.3135
Br 3.7742 6.0280 5.0167
Br -6.2746 3.8225 8.8366
Br 5.5762 -2.0317 11.1412
Br 7.4974 4.0019 4.5203
Li 11.2515 0.0000 3.0623
Li 1.2502 7.0720 3.0623
Li 3.7505 0.0000 9.1868
Li -3.7505 2.6520 10.7179
Li 3.7505 7.9560 7.6557
Li 6.2508 0.8840 4.5934
Li -1.2502 6.1880 7.6557
Li 1.2502 -0.8840 4.5934
Li 8.7511 4.4200 1.5311
Li 8.7511 9.7240 1.5311
Li -3.7505 -2.6520 10.7179
Li -6.2508 7.0720 9.1868
Ga -1.2502 3.5360 3.0623
Ga 8.7511 -0.8840 7.6557
Ga 2.5003 3.5360 6.1245
Ga 5.0007 7.0720 0.0000
Ga -3.7505 7.9560 4.5934
Ga -1.2502 11.4920 1.5311
Ga 1.2502 -3.5360 9.1868
Ga 7.5010 0.0000 0.0000
Ga 0.0000 0.0000 0.0000
Ga -1.2502 0.8840 7.6557
Ga 6.2508 6.1880 4.5934
Ga 3.7505 2.6520 1.5311
Ga 1.2502 4.4200 10.7179
Ga 6.2508 -4.4200 10.7179
Ga -2.5003 7.0720 0.0000
Ga 3.7505 10.6080 3.0623
Ga 6.2508 3.5360 9.1868
Ga 5.0007 -3.5360 6.1245
Ga -5.0007 3.5360 6.1245
Ga -2.5003 -3.5360 6.1245
```

Material: LiGa2Br
Method: DFT, PBE
State: relaxed

E_tot, eV per cell: -24.124
Formation energy from raw total energies, eV per atom: -0.6054
Total magnetic moment, μB/atom: 0.000

Structure (extended XYZ):
```
8
Lattice="-3.1409 1.4030 -1.9852 -2.2613 -0.4938 3.2318 1.5544 12.9468 4.4692" Properties=species:S:1:pos:R:3 pbc="T T T"
Ga -0.2007 9.8345 5.0662
Ga -0.8159 11.7712 7.3841
Ga -1.2544 12.7197 4.7754
Ga -0.6412 10.7825 2.4567
Br -3.6397 4.0499 1.7615
Br -0.2763 6.3163 2.0169
Li -1.7387 4.7112 3.1945
Li -2.1779 5.6548 0.5845
```

Material: LiGa2Br
Method: DFT, PBE
State: relaxed

E_tot, eV per cell: -24.394
Formation energy from raw total energies, eV per atom: -0.6391
Total magnetic moment, μB/atom: 0.000

Structure (extended XYZ):
```
8
Lattice="4.0715 0.0026 -0.0104 2.0347 3.6859 -0.0151 0.2554 -0.0884 13.1156" Properties=species:S:1:pos:R:3 pbc="T T T"
Li 3.3309 2.8405 11.4051
Li 3.0976 0.5497 1.7566
Ga 3.0969 2.9171 6.2551
Ga 3.0919 0.4851 5.1068
Ga 5.1444 1.6406 7.5309
Ga 5.1226 1.7701 3.9857
Br 1.2937 1.5650 10.6208
Br 3.0943 2.9615 0.8940
```

Material: LiGa3Br
Method: DFT, PBE
State: relaxed

E_tot, eV per cell: -12.434
Formation energy from raw total energies, eV per atom: 0.0467
Total magnetic moment, μB/atom: 0.000

Structure (extended XYZ):
```
5
Lattice="4.8765 0.0000 0.0000 0.0000 4.8765 0.0000 0.0000 0.0000 4.8765" Properties=species:S:1:pos:R:3 pbc="T T T"
Ga 2.4383 0.0000 0.0000
Ga 0.0000 2.4383 0.0000
Ga 0.0000 0.0000 2.4383
Br 2.4383 2.4383 2.4383
Li 0.0000 0.0000 0.0000
```

Material: LiGaBr2
Method: DFT, PBE
State: relaxed

E_tot, eV per cell: -11.655
Formation energy from raw total energies, eV per atom: -0.8421
Total magnetic moment, μB/atom: 0.000

Structure (extended XYZ):
```
4
Lattice="3.6468 0.0000 0.0000 0.0000 3.6468 0.0000 0.0000 0.0000 7.4774" Properties=species:S:1:pos:R:3 pbc="T T T"
Br 0.0000 0.0000 1.7302
Br 0.0000 0.0000 5.7471
Li 1.8234 1.8234 0.0000
Ga 1.8234 1.8234 3.7387
```

Material: LiGa2Br
Method: DFT, PBE
State: relaxed

E_tot, eV per cell: -11.571
Formation energy from raw total energies, eV per atom: -0.4826
Total magnetic moment, μB/atom: 0.000

Structure (extended XYZ):
```
4
Lattice="3.4584 -0.0010 -0.0117 0.0009 3.5129 -0.0013 1.5002 0.0147 7.6242" Properties=species:S:1:pos:R:3 pbc="T T T"
Li 2.5048 1.2785 6.3454
Ga 2.6650 3.0087 2.4350
Ga 0.9449 1.2545 3.7339
Br 4.2300 3.0342 7.1895
```